No. 1
The following is a DFT calculation (PBE-GGA) of a relaxed ZnIn5Hg6 crystal.

Properties
DOS(E_F) ... 0.37 states/eV/atom
Final energy ... -1.3468 eV per atom
Formation enthalpy at 0 K ... 0.05 eV per atom
Spin magnetization ... 0.0 μB per formula unit
Calculated density ... 9.785 g/cm³

abc: 10.557 9.464 6.295
angles: 90.00 95.91 90.00
Space group C2/m (No. 12)
Asymmetric unit:
Zn 0.000 0.000 0.000 (multiplicity 2)
In 0.000 0.000 0.500 (multiplicity 2)
In 0.000 0.324 0.000 (multiplicity 4)
In 0.000 0.337 0.500 (multiplicity 4)
Hg 0.232 0.164 0.259 (multiplicity 8)
Hg 0.250 0.000 0.789 (multiplicity 4)

No. 2
The following is a DFT calculation (PBE-GGA) of a relaxed La2CeNi crystal.

Properties
DOS(E_F) ... 2.12 states/eV/atom
Final energy ... -5.2633 eV per atom
Formation enthalpy at 0 K ... 0.13 eV per atom
Spin magnetization ... 1.6 μB per formula unit
ΔE to the lowest computed polymorph ... 17.7 kJ/mol of atoms
Calculated density ... 6.447 g/cm³

abc: 3.6883 3.6883 31.2625
angles: 90.00 90.00 120.00
Space group R-3m (No. 166, hexagonal axes)
Asymmetric unit:
La 0.0000 0.0000 0.1086 (multiplicity 6)
Ce 0.0000 0.0000 0.0000 (multiplicity 3)
Ni 0.0000 0.0000 0.5000 (multiplicity 3)

No. 3
The following is a DFT calculation (PBE-GGA) of a relaxed Ho6Tl2Ir crystal.

Properties
DOS(E_F) ... 1.10 states/eV/atom
Final energy ... -4.9917 eV per atom
Formation enthalpy at 0 K ... -0.43 eV per atom
Spin magnetization ... 0.0 μB per formula unit
ΔE to the lowest computed polymorph ... 0.0 kJ/mol of atoms
Calculated density ... 10.677 g/cm³

abc: 3.860 14.796 8.663
angles: 90.00 90.00 90.00
Space group Amm2 (No. 38)
Asymmetric unit:
Ho 0.000 0.000 0.000 (multiplicity 2)
Ho 0.000 0.117 0.630 (multiplicity 4)
Ho 0.500 0.000 0.355 (multiplicity 2)
Ho 0.500 0.194 0.944 (multiplicity 4)
Tl 0.000 0.169 0.251 (multiplicity 4)
Ir 0.500 0.000 0.766 (multiplicity 2)

No. 4
The following is a DFT calculation (PBE-GGA) of a relaxed CsTmGeO4 crystal.

Properties
DOS(E_F) ... 0.00 states/eV/atom
Final energy ... -6.6531 eV per atom
Spin magnetization ... 0.0 μB per formula unit
Calculated density ... 5.568 g/cm³

abc: 5.727 5.948 8.137
angles: 90.00 109.34 90.00
Space group P2_1/m (No. 11)
Asymmetric unit:
Cs 0.194 0.250 0.434 (multiplicity 2)
Tm 0.302 0.250 0.966 (multiplicity 2)
Ge 0.241 0.750 0.144 (multiplicity 2)
O 0.016 0.750 0.934 (multiplicity 2)
O 0.053 0.750 0.278 (multiplicity 2)
O 0.459 0.525 0.159 (multiplicity 4)

No. 5
The following is a DFT calculation (PBE-GGA) of a relaxed Y2ThScP4 crystal.

Properties
DOS(E_F) ... 0.19 states/eV/atom
Final energy ... -7.5977 eV per atom
Formation enthalpy at 0 K ... -1.56 eV per atom
Spin magnetization ... 0.0 μB per formula unit
Calculated density ... 5.321 g/cm³

abc: 6.894 4.008 6.933
angles: 90.00 109.45 90.00
Space group P2/m (No. 10)
Asymmetric unit:
Y 0.000 0.000 0.000 (multiplicity 1)
Y 0.500 0.500 0.000 (multiplicity 1)
Th 0.000 0.500 0.500 (multiplicity 1)
Sc 0.500 0.000 0.500 (multiplicity 1)
P 0.260 0.000 0.750 (multiplicity 2)
P 0.262 0.500 0.258 (multiplicity 2)

No. 6
The following is a DFT calculation (PBE-GGA) of a relaxed CrTe2OsN crystal.

Properties
DOS(E_F) ... 0.98 states/eV/atom
Final energy ... -6.2777 eV per atom
Spin magnetization ... 1.3 μB per formula unit
ΔE to the lowest computed polymorph ... 30.2 kJ/mol of atoms
Calculated density ... 9.205 g/cm³

abc: 5.170 5.170 3.451
angles: 90.00 90.00 90.00
Space group P4/mmm (No. 123)
Asymmetric unit:
Cr 0.000 0.000 0.000 (multiplicity 1)
Te 0.000 0.500 0.000 (multiplicity 2)
Os 0.500 0.500 0.500 (multiplicity 1)
N 0.000 0.000 0.500 (multiplicity 1)

No. 7
The following is a DFT calculation (PBE-GGA) of a relaxed ScTiI6 crystal.

Properties
DOS(E_F) ... 0.55 states/eV/atom
Final energy ... -3.8557 eV per atom
Spin magnetization ... 1.0 μB per formula unit
Calculated density ... 4.266 g/cm³

abc: 7.010 14.337 7.008
angles: 90.00 109.23 90.00
Space group C2/m (No. 12)
Asymmetric unit:
Sc 0.000 0.000 0.000 (multiplicity 2)
Ti 0.000 0.500 0.500 (multiplicity 2)
I 0.245 0.360 0.746 (multiplicity 8)
I 0.245 0.500 0.256 (multiplicity 4)

No. 8
The following is a DFT calculation (PBE-GGA) of a relaxed SmSi2NiPd crystal.

Properties
DOS(E_F) ... 0.64 states/eV/atom
Final energy ... -6.1718 eV per atom
Spin magnetization ... 0.0 μB per formula unit
Calculated density ... 7.409 g/cm³

abc: 4.119 4.119 9.818
angles: 90.00 90.00 90.00
Space group I-4m2 (No. 119)
Asymmetric unit:
Sm 0.000 0.000 0.000 (multiplicity 2)
Si 0.000 0.000 0.378 (multiplicity 4)
Ni 0.000 0.500 0.750 (multiplicity 2)
Pd 0.000 0.500 0.250 (multiplicity 2)